Entry 1:
# Li2ScCu

An optimized crystal structure of Li2ScCu (PBE-GGA, OQMD).

E ... -3.4102 eV/atom

The structure in CIF format:
```
data_Li2ScCu
_cell_length_a 6.331
_cell_length_b 6.331
_cell_length_c 6.331
_cell_angle_alpha 90.00
_cell_angle_beta 90.00
_cell_angle_gamma 90.00
_symmetry_space_group_name_H-M 'F -4 3 m'
_symmetry_Int_Tables_number 216
_symmetry_space_group_name_Hall 'F -4 2 3'
loop_
_atom_site_label
_atom_site_type_symbol
_atom_site_fract_x
_atom_site_fract_y
_atom_site_fract_z
Li1 Li 0.000 0.000 0.000
Li2 Li 0.250 0.250 0.250
Sc1 Sc 0.250 0.250 0.750
Cu1 Cu 0.000 0.000 0.500
```


Entry 2:
# LiScCuSe3

An optimized crystal structure of LiScCuSe3 (PBE-GGA, OQMD).

Relative energy among the computed polymorphs ... 0 meV per atom

The structure in CIF format:
```
data_LiScCuSe3
_cell_length_a 7.634
_cell_length_b 3.769
_cell_length_c 9.083
_cell_angle_alpha 90.00
_cell_angle_beta 104.25
_cell_angle_gamma 90.00
_symmetry_space_group_name_H-M 'P 1 21/m 1'
_symmetry_Int_Tables_number 11
loop_
_symmetry_equiv_pos_as_xyz
'x,y,z'
'-x,-y,-z'
'-x,y+1/2,-z'
'x,-y+1/2,z'
loop_
_atom_site_label
_atom_site_type_symbol
_atom_site_fract_x
_atom_site_fract_y
_atom_site_fract_z
Li1 Li 0.193 0.250 0.210
Sc1 Sc 0.327 0.750 0.844
Cu1 Cu 0.081 0.250 0.591
Se1 Se 0.080 0.250 0.856
Se2 Se 0.250 0.750 0.530
Se3 Se 0.421 0.750 0.156
```


Here are the calculated magnetization numbers, same order: 0.09; 0.01 (μB/f.u.).